one) A geometry-optimized InAs2SeO structure. Source: the Alexandria database, functional PBE.

Cell and atoms, written as CIF:
```
data_InAs2SeO
_cell_length_a 4.3390
_cell_length_b 4.3390
_cell_length_c 5.1583
_cell_angle_alpha 90.00
_cell_angle_beta 90.00
_cell_angle_gamma 90.00
_symmetry_space_group_name_H-M 'P 1'
_symmetry_Int_Tables_number 1
_symmetry_space_group_name_Hall 'P 1'
loop_
_atom_site_label
_atom_site_type_symbol
_atom_site_fract_x
_atom_site_fract_y
_atom_site_fract_z
_atom_site_occupancy
As1 As 0.0000 0.5000 0.0000 1
As2 As 0.5000 0.0000 0.0000 1
O1 O 0.0000 0.0000 0.0000 1
In1 In 0.5000 0.5000 0.5000 1
Se1 Se 0.0000 0.0000 0.5000 1
```

Space-group type: No. 123
Total moment, μB per formula unit: 0.00

***

two) A geometry-optimized InAs2SeO structure. Source: the Alexandria database, functional PBE.

Cell and atoms, written as CIF:
```
data_InAs2SeO
_cell_length_a 5.2809
_cell_length_b 5.2809
_cell_length_c 5.2903
_cell_angle_alpha 90.00
_cell_angle_beta 90.00
_cell_angle_gamma 90.00
_symmetry_space_group_name_H-M 'P 1'
_symmetry_Int_Tables_number 1
_symmetry_space_group_name_Hall 'P 1'
loop_
_atom_site_label
_atom_site_type_symbol
_atom_site_fract_x
_atom_site_fract_y
_atom_site_fract_z
_atom_site_occupancy
As1 As 0.5000 0.0000 0.0000 1
As2 As 0.0000 0.5000 0.0000 1
In1 In 0.0000 0.0000 0.0000 1
Se1 Se 0.0000 0.0000 0.5000 1
O1 O 0.5000 0.5000 0.5000 1
```

Space-group type: No. 123
Total moment, μB per formula unit: 1.06

***

Top of the stability list: one), leading by 1035 meV per atom.